1.
# GGA-PBE Pr3Bi2Ir, optimized geometry
# - crystal system = orthorhombic
# - energy relative to the elements (eV per atom) = -0.6495
data_Pr3Bi2Ir
_chemical_formula_sum 'Pr6 Bi4 Ir2'
_space_group_name_H-M_alt 'I m m m'
_space_group_IT_number 71
_space_group_name_Hall '-I 2 2'
_cell_length_a 4.3932
_cell_length_b 6.4094
_cell_length_c 13.7107
_cell_angle_alpha 90.00
_cell_angle_beta 90.00
_cell_angle_gamma 90.00
loop_
_atom_site_label
_atom_site_type_symbol
_atom_site_fract_x
_atom_site_fract_y
_atom_site_fract_z
_atom_site_occupancy
Pr1 Pr 0.0000 0.0000 0.0000 1
Pr2 Pr 0.0000 0.0000 0.3578 1
Bi1 Bi 0.0000 0.5000 0.3230 1
Ir1 Ir 0.0000 0.5000 0.0000 1

2.
# GGA-PBE Pr3BiIr, optimized geometry
# - energy above the lowest structure with this stoichiometry (eV/f.u.) = 0.00
# - crystal system = orthorhombic
# - energy relative to the elements (eV per atom) = -0.6959
data_Pr3BiIr
_chemical_formula_sum 'Pr12 Bi4 Ir4'
_space_group_name_H-M_alt 'P n m a'
_space_group_IT_number 62
_space_group_name_Hall '-P 2ac 2n'
_cell_length_a 8.3731
_cell_length_b 4.4445
_cell_length_c 16.9163
_cell_angle_alpha 90.00
_cell_angle_beta 90.00
_cell_angle_gamma 90.00
loop_
_atom_site_label
_atom_site_type_symbol
_atom_site_fract_x
_atom_site_fract_y
_atom_site_fract_z
_atom_site_occupancy
Pr1 Pr 0.0133 0.2500 0.0930 1
Pr2 Pr 0.1434 0.7500 0.4524 1
Pr3 Pr 0.1646 0.2500 0.7023 1
Bi1 Bi 0.1330 0.2500 0.2987 1
Ir1 Ir 0.2271 0.7500 0.0422 1

So what do the calculations give for spin magnetization? Going down the list: 0.00; 0.00 μB per formula unit.